DFT (GGA+U) results for a relaxed structure of Cs2MnZnF6.

```
Cs2MnZnF6
1.0
0.000 4.339 4.339
4.339 0.000 4.339
4.339 4.339 0.000
Cs Mn Zn F
2 1 1 6
Direct
0.250 0.250 0.250
0.750 0.750 0.750
0.000 0.000 0.000
0.500 0.500 0.500
0.254 0.254 0.746
0.254 0.746 0.254
0.254 0.746 0.746
0.746 0.254 0.254
0.746 0.254 0.746
0.746 0.746 0.254
```

Values from the calculation:
VASP energy   -47.8 eV/f.u.
Theoretical density   5.08 Mg/m³
Total magnetization   5.00 μB per formula unit